Entry 1:
Below is a relaxed structure of NaPtSN2, with properties calculated at the PBE level.

The formation energy (no corrections) is 2.366 eV/atom. The calculation puts the calculated total energy at -3.262 eV per atom. The offset from the most stable computed form is 1517 meV per atom.

The structure belongs to space group P4/mmm (No. 123); the cell edges are 4.1100, 4.1100 and 5.3766 Å and the angles 90.00°, 90.00° and 90.00°. The inequivalent atoms are Na at (0.0000, 0.0000, 0.0000), Pt at (0.5000, 0.5000, 0.5000), S at (0.0000, 0.0000, 0.5000) and N at (0.0000, 0.5000, 0.0000).

---

Entry 2:
Below is a relaxed structure of Na2SnPtN, with properties calculated at the PBE level.

The formation energy (no corrections) is 0.902 eV/atom. The calculation puts the calculated total energy at -3.300 eV per atom.

The structure belongs to space group P4/mmm (No. 123); the cell edges are 6.0007, 6.0007 and 3.9249 Å and the angles 90.00°, 90.00° and 90.00°. The inequivalent atoms are Na at (0.0000, 0.5000, 0.0000), Sn at (0.0000, 0.0000, 0.0000), Pt at (0.5000, 0.5000, 0.5000) and N at (0.0000, 0.0000, 0.5000).

---

Entry 3:
Below is a relaxed structure of Na4U3PtN8, with properties calculated at the PBE level.

The formation energy (no corrections) is -0.770 eV/atom. The calculation puts the calculated total energy at -7.757 eV per atom.

The structure belongs to space group C2/m (No. 12); the cell edges are 12.5675, 6.5277 and 6.7006 Å and the angles 90.00°, 121.72° and 90.00°. The inequivalent atoms are Na at (0.0000, 0.0000, 0.0000), Na at (0.0000, 0.5000, 0.0000), Na at (0.2500, 0.2500, 0.0000), U at (0.0000, 0.0000, 0.5000), U at (0.2500, 0.2500, 0.5000), Pt at (0.0000, 0.5000, 0.5000), N at (0.0345, 0.2487, 0.3315), N at (0.2174, 0.0000, 0.2786) and N at (0.2242, 0.0000, 0.6908).

---

Entry 4:
Below is a relaxed structure of NaPuN, with properties calculated at the PBE level.

The formation energy (no corrections) is -0.650 eV/atom. The calculation puts the calculated total energy at -8.643 eV per atom.

The structure belongs to space group Pmmn (No. 59, origin choice 2); the cell edges are 4.0385, 4.0540 and 9.2560 Å and the angles 90.00°, 90.00° and 90.00°. The inequivalent atoms are Na at (0.2500, 0.2500, 0.1112), Pu at (0.2500, 0.2500, 0.6068) and N at (0.2500, 0.7500, 0.5008).

---

Entry 5:
Below is a relaxed structure of NaPu6N8, with properties calculated at the PBE level.

The formation energy (no corrections) is -0.994 eV/atom. The calculation puts the calculated total energy at -11.255 eV per atom.

The structure belongs to space group R-3 (No. 148, hexagonal axes); the cell edges are 6.8824, 6.8824 and 15.5594 Å and the angles 90.00°, 90.00° and 120.00°. The inequivalent atoms are Na at (0.0000, 0.0000, 0.0000), Pu at (0.0183, 0.3888, 0.9164), N at (0.0000, 0.0000, 0.3158) and N at (0.0182, 0.2990, 0.1061).

---

Entry 6:
Below is a relaxed structure of NaPu2N, with properties calculated at the PBE level.

The formation energy (no corrections) is -0.398 eV/atom. The calculation puts the calculated total energy at -9.975 eV per atom.

The structure belongs to space group R-3m (No. 166, hexagonal axes); the cell edges are 3.3801, 3.3801 and 30.1781 Å and the angles 90.00°, 90.00° and 120.00°. The inequivalent atoms are Na at (0.0000, 0.0000, 0.0000), Pu at (0.0000, 0.0000, 0.1193) and N at (0.0000, 0.0000, 0.5000).